# 1
Material: Li2BeSi2Ni5
Method: DFT, PBE
State: optimized geometry

Cell and atoms, written as POSCAR:
```
Li2BeSi2Ni5
1.0
2.6028 0.0000 0.0000
0.0000 9.5131 0.0000
0.0000 0.0000 9.5131
Ni Li Si Be
10 4 4 2
Direct
0.5000 0.5535 0.6842 Ni
0.5000 0.9465 0.1842 Ni
0.5000 0.6842 0.4465 Ni
0.5000 0.1842 0.0535 Ni
0.5000 0.0535 0.8158 Ni
0.5000 0.4465 0.3158 Ni
0.5000 0.5000 0.0000 Ni
0.5000 0.0000 0.5000 Ni
0.5000 0.8158 0.9465 Ni
0.5000 0.3158 0.5535 Ni
0.0000 0.3300 0.8300 Li
0.0000 0.6700 0.1700 Li
0.0000 0.8300 0.6700 Li
0.0000 0.1700 0.3300 Li
0.0000 0.6394 0.8606 Si
0.0000 0.3606 0.1394 Si
0.0000 0.1394 0.6394 Si
0.0000 0.8606 0.3606 Si
0.0000 0.5000 0.5000 Be
0.0000 0.0000 0.0000 Be
```

The value obtained for the formation energy without anion corrections is -0.347 eV/atom. For the volume, the calculation gives 11.78 A^3/atom.

# 2
Material: K2AuO2
Method: DFT, PBE
State: optimized geometry

Cell and atoms, written as POSCAR:
```
K2AuO2
1.0
-3.3487 -0.4541 4.5406
-6.2276 -0.4739 -2.2995
-2.0056 -6.9058 0.9022
Au O K
2 4 4
Direct
0.6709 0.0280 0.4736 Au
0.8581 0.7684 0.1451 Au
0.7201 0.7065 0.9524 O
0.0001 0.8371 0.3457 O
0.3612 0.3910 0.6735 O
0.3271 0.2052 0.6102 O
0.3317 0.0605 0.9970 K
0.1579 0.8083 0.6696 K
0.4023 0.5068 0.2688 K
0.8289 0.4627 0.6882 K
```

The value obtained for the formation energy without anion corrections is -0.871 eV/atom. For the volume, the calculation gives 24.09 A^3/atom.

# 3
Material: BaPr2Ru
Method: DFT, PBE
State: optimized geometry

Cell and atoms, written as POSCAR:
```
BaPr2Ru
1.0
4.2521 0.0000 0.0000
2.1261 3.6825 0.0000
2.1261 1.2275 9.7558
Ba Ru Pr
1 1 2
Direct
0.5009 0.5009 0.4973 Ba
0.6664 0.6664 0.0009 Ru
0.2834 0.2834 0.1497 Pr
0.0493 0.0493 0.8521 Pr
```

The calculation puts the energy of formation at -16 kJ/mol of formula units. As for the offset from the most stable computed form: 0 meV per atom. For the volume, the calculation gives 38.19 A^3/atom.